Record 1
{"formula": "PmTcGe2", "functional": "PBE", "state": "optimized geometry", "cell": [[4.236, 0.000, 0.000], [0.000, 7.316, 0.000], [0.000, 0.000, 10.362]], "species": ["Pm", "Pm", "Pm", "Pm", "Tc", "Tc", "Tc", "Tc", "Ge", "Ge", "Ge", "Ge", "Ge", "Ge", "Ge", "Ge"], "fractional_positions": [[0.750, 0.842, 0.131], [0.250, 0.158, 0.869], [0.750, 0.342, 0.369], [0.250, 0.658, 0.631], [0.250, 0.478, 0.106], [0.250, 0.978, 0.394], [0.750, 0.522, 0.894], [0.750, 0.022, 0.606], [0.750, 0.859, 0.812], [0.250, 0.141, 0.188], [0.750, 0.359, 0.688], [0.250, 0.641, 0.312], [0.750, 0.796, 0.432], [0.250, 0.704, 0.932], [0.750, 0.296, 0.068], [0.250, 0.204, 0.568]], "magnetic_moment_mub_per_cell": 0.0, "n_ef_per_ev_atom": 0.5960, "formation_energy_mev_per_atom": -531.3, "polymorph_energy_ev_per_fu": 0.00}



Record 2
{"formula": "Pm3Tc4Ge4", "functional": "PBE", "state": "optimized geometry", "cell": [[6.692, 0.000, 0.000], [-2.231, 6.309, 0.000], [-2.231, -3.155, 5.464]], "species": ["Pm", "Pm", "Pm", "Tc", "Tc", "Tc", "Tc", "Ge", "Ge", "Ge", "Ge"], "fractional_positions": [[0.500, 0.500, 0.000], [0.500, 0.000, 0.500], [0.000, 0.500, 0.500], [0.000, 0.246, 0.000], [0.000, 0.000, 0.246], [0.246, 0.000, 0.000], [0.754, 0.754, 0.754], [0.000, 0.611, 0.000], [0.611, 0.000, 0.000], [0.000, 0.000, 0.611], [0.389, 0.389, 0.389]], "magnetic_moment_mub_per_cell": 0.0, "n_ef_per_ev_atom": 0.8901, "formation_energy_mev_per_atom": -378.1}



Record 3
{"formula": "PmTc2Ge4", "functional": "PBE", "state": "optimized geometry", "cell": [[6.864, -0.098, 0.170], [-2.380, 6.439, -0.170], [-2.105, -3.268, 5.661]], "species": ["Pm", "Pm", "Tc", "Tc", "Tc", "Tc", "Ge", "Ge", "Ge", "Ge", "Ge", "Ge", "Ge", "Ge"], "fractional_positions": [[0.000, 0.000, 0.000], [0.750, 0.500, 0.250], [0.875, 0.087, 0.462], [0.538, 0.413, 0.625], [0.375, 0.913, 0.788], [0.212, 0.587, 0.125], [0.190, 0.942, 0.421], [0.579, 0.769, 0.521], [0.998, 0.558, 0.729], [0.271, 0.269, 0.829], [0.560, 0.731, 0.002], [0.752, 0.231, 0.810], [0.479, 0.058, 0.248], [0.171, 0.442, 0.440]], "magnetic_moment_mub_per_cell": 0.0, "n_ef_per_ev_atom": 0.7066, "formation_energy_mev_per_atom": -208.3}